[1]
A plane-wave DFT calculation with PBE was carried out for a geometry-optimized BaYZn2C structure.

Calculated values
Its size of the total moment is 0.00 μB per formula unit. For the density of states at the Fermi level, the calculation gives 3.5 states/eV per cell. The space group is P4/mmm.

Cell: 4.9468 4.9468 4.7745 Å, 90.00 90.00 90.00°
Closest atoms and distances in Å follow each position.
Positions (direct):
Ba1 0.0000 0.0000 0.0000  8 Zn 3.44, 4 Y 3.50
Y1 0.5000 0.5000 0.0000  2 C 2.39
Zn1 0.0000 0.5000 0.5000  2 C 2.47
Zn2 0.5000 0.0000 0.5000  2 C 2.47
C1 0.5000 0.5000 0.5000  2 Y 2.39, 4 Zn 2.47



[2]
A plane-wave DFT calculation with PBE was carried out for a geometry-optimized BaZn3C structure.

Calculated values
Its size of the total moment is 3.23 μB per formula unit. For the density of states at the Fermi level, the calculation gives 3.4 states/eV per cell. The space group is Pm-3m.

Cell: 6.6575 6.6575 6.6575 Å, 90.00 90.00 90.00°
Closest atoms and distances in Å follow each position.
Positions (direct):
Ba1 0.0000 0.0000 0.0000  6 Zn 3.33
Zn1 0.0000 0.0000 0.5000  2 Ba 3.33
Zn2 0.0000 0.5000 0.0000  2 Ba 3.33
Zn3 0.5000 0.0000 0.0000  2 Ba 3.33
C1 0.5000 0.5000 0.5000  12 Zn 4.71



[3]
A plane-wave DFT calculation with PBE was carried out for a geometry-optimized BaZnC3 structure.

Calculated values
Its size of the total moment is 8.00 μB per formula unit. For the density of states at the Fermi level, the calculation gives 4.8 states/eV per cell. The space group is Pm-3m.

Cell: 5.7347 5.7347 5.7347 Å, 90.00 90.00 90.00°
Closest atoms and distances in Å follow each position.
Positions (direct):
Ba1 0.0000 0.0000 0.0000  6 C 2.87
Zn1 0.5000 0.5000 0.5000  12 C 4.06
C1 0.0000 0.0000 0.5000  2 Ba 2.87
C2 0.0000 0.5000 0.0000  2 Ba 2.87
C3 0.5000 0.0000 0.0000  2 Ba 2.87



[4]
A plane-wave DFT calculation with PBE was carried out for a geometry-optimized BaZnC2 structure.

Calculated values
Its size of the total moment is 0.00 μB per formula unit. For the density of states at the Fermi level, the calculation gives 4.4 states/eV per cell. The space group is I4_1/amd.

Cell: 7.4788 7.4788 7.4788 Å, 144.47 144.47 51.13°
Closest atoms and distances in Å follow each position.
Positions (direct):
Ba1 0.3750 0.6250 0.7500  8 C 3.06, 4 Zn 3.23
Ba2 0.6250 0.3750 0.2500  8 C 3.06, 4 Zn 3.23
Zn1 0.1250 0.8750 0.2500  4 C 2.04
Zn2 0.8750 0.1250 0.7500  4 C 2.04
C1 0.0000 0.0000 0.0000  2 Zn 2.04
C2 0.0000 0.0000 0.5000  2 Zn 2.04
C3 0.0000 0.5000 0.0000  2 Zn 2.04
C4 0.5000 0.0000 0.5000  2 Zn 2.04



[5]
A plane-wave DFT calculation with PBE was carried out for a geometry-optimized BaZn2C structure.

Calculated values
Its size of the total moment is 0.00 μB per formula unit. For the density of states at the Fermi level, the calculation gives 5.4 states/eV per cell. The space group is I4_1/amd.

Cell: 6.4044 6.4044 6.4044 Å, 119.89 119.89 90.19°
Closest atoms and distances in Å follow each position.
Positions (direct):
Ba1 0.3750 0.6250 0.7500  12 Zn 3.75-3.76, 4 C 3.92, 4 Ba 3.92
Ba2 0.6250 0.3750 0.2500  12 Zn 3.75-3.76, 4 Ba 3.92, 4 C 3.92
Zn1 0.0000 0.0000 0.0000  2 C 1.96
Zn2 0.0000 0.0000 0.5000  2 C 1.96
Zn3 0.0000 0.5000 0.0000  2 C 1.96
Zn4 0.5000 0.0000 0.5000  2 C 1.96
C1 0.1250 0.8750 0.2500  4 Zn 1.96
C2 0.8750 0.1250 0.7500  4 Zn 1.96



[6]
A plane-wave DFT calculation with PBE was carried out for a geometry-optimized BaZn3C structure.

Calculated values
Its size of the total moment is 0.00 μB per formula unit. For the density of states at the Fermi level, the calculation gives 2.0 states/eV per cell. The space group is Pm-3m.

Cell: 4.6655 4.6655 4.6655 Å, 90.00 90.00 90.00°
Closest atoms and distances in Å follow each position.
Positions (direct):
Ba1 0.0000 0.0000 0.0000  12 Zn 3.30
Zn1 0.0000 0.5000 0.5000  2 C 2.33
Zn2 0.5000 0.0000 0.5000  2 C 2.33
Zn3 0.5000 0.5000 0.0000  2 C 2.33
C1 0.5000 0.5000 0.5000  6 Zn 2.33



[7]
A plane-wave DFT calculation with PBE was carried out for a geometry-optimized BaZnC3 structure.

Calculated values
Its size of the total moment is 0.00 μB per formula unit. For the density of states at the Fermi level, the calculation gives 3.7 states/eV per cell. The space group is Pm-3m.

Cell: 4.2554 4.2554 4.2554 Å, 90.00 90.00 90.00°
Closest atoms and distances in Å follow each position.
Positions (direct):
Ba1 0.0000 0.0000 0.0000  12 C 3.01
Zn1 0.5000 0.5000 0.5000  6 C 2.13
C1 0.0000 0.5000 0.5000  2 Zn 2.13
C2 0.5000 0.0000 0.5000  2 Zn 2.13
C3 0.5000 0.5000 0.0000  2 Zn 2.13



[8]
A plane-wave DFT calculation with PBE was carried out for a geometry-optimized BaZrC2 structure.

Calculated values
Its size of the total moment is 0.29 μB per formula unit. For the density of states at the Fermi level, the calculation gives 4.8 states/eV per cell. The space group is Fm-3m.

Cell: 4.5517 4.5517 4.5517 Å, 60.00 60.00 60.00°
Closest atoms and distances in Å follow each position.
Positions (direct):
Ba1 0.0000 0.0000 0.0000  8 C 2.79
Zr1 0.5000 0.5000 0.5000  8 C 2.79
C1 0.2500 0.2500 0.2500  4 Zr 2.79, 4 Ba 2.79
C2 0.7500 0.7500 0.7500  4 Zr 2.79, 4 Ba 2.79



One value per record, in order, for ΔE_f: 0.488, 2.010, 3.536, 1.196, 0.476, 0.685, 2.136, 1.488 eV per atom.